# 1
VASP calculation (PBE) on a geometry-optimized Ni2HgRh2 structure.

Values from the calculation:
polymorph energy (0 for the lowest one) = 97 meV/atom
formation enthalpy at 0 K = 0.321 eV per atom

```
data_Ni2HgRh2
_space_group_name_H-M_alt 'I 4/m m m'
_space_group_IT_number 139
_space_group_name_Hall '-I 4 2'
_cell_length_a 3.4703
_cell_length_b 3.4703
_cell_length_c 12.7959
_cell_angle_alpha 90.00
_cell_angle_beta 90.00
_cell_angle_gamma 90.00
loop_
_atom_site_label
_atom_site_fract_x
_atom_site_fract_y
_atom_site_fract_z
Ni1 0.0000 0.5000 0.2500
Hg1 0.0000 0.0000 0.0000
Rh1 0.0000 0.0000 0.3913
```

# 2
VASP calculation (PBE) on a geometry-optimized NiHgRh structure.

Values from the calculation:
polymorph energy (0 for the lowest one) = 0 meV/atom
formation enthalpy at 0 K = 0.192 eV per atom

```
data_NiHgRh
_space_group_name_H-M_alt 'I 4 m m'
_space_group_IT_number 107
_space_group_name_Hall 'I 4 -2'
_cell_length_a 2.9221
_cell_length_b 2.9221
_cell_length_c 10.8430
_cell_angle_alpha 90.00
_cell_angle_beta 90.00
_cell_angle_gamma 90.00
loop_
_atom_site_label
_atom_site_fract_x
_atom_site_fract_y
_atom_site_fract_z
Ni1 0.0000 0.0000 0.0000
Hg1 0.0000 0.0000 0.6740
Rh1 0.0000 0.0000 0.3644
```

# 3
VASP calculation (PBE) on a geometry-optimized NiHg2Rh structure.

Values from the calculation:
polymorph energy (0 for the lowest one) = 64 meV/atom
formation enthalpy at 0 K = 0.249 eV per atom

```
data_NiHg2Rh
_space_group_name_H-M_alt 'I m m 2'
_space_group_IT_number 44
_cell_length_a 3.0296
_cell_length_b 4.6496
_cell_length_c 9.6438
_cell_angle_alpha 90.00
_cell_angle_beta 90.00
_cell_angle_gamma 90.00
loop_
_space_group_symop_operation_xyz
'x,y,z'
'-x,-y,z'
'-x,y,z'
'x,-y,z'
'x+1/2,y+1/2,z+1/2'
'-x+1/2,-y+1/2,z+1/2'
'-x+1/2,y+1/2,z+1/2'
'x+1/2,-y+1/2,z+1/2'
loop_
_atom_site_label
_atom_site_fract_x
_atom_site_fract_y
_atom_site_fract_z
Ni1 0.0000 0.0000 0.0000
Hg1 0.0000 0.0000 0.4796
Hg2 0.0000 0.5000 0.2586
Rh1 0.0000 0.5000 0.7141
```

# 4
VASP calculation (PBE) on a geometry-optimized NiHg2Rh structure.

Values from the calculation:
polymorph energy (0 for the lowest one) = 14 meV/atom
formation enthalpy at 0 K = 0.198 eV per atom

```
data_NiHg2Rh
_space_group_name_H-M_alt 'P 4 m m'
_space_group_IT_number 99
_cell_length_a 3.0252
_cell_length_b 3.0252
_cell_length_c 7.6298
_cell_angle_alpha 90.00
_cell_angle_beta 90.00
_cell_angle_gamma 90.00
loop_
_space_group_symop_operation_xyz
'x,y,z'
'-y,x,z'
'-x,-y,z'
'y,-x,z'
'-x,y,z'
'y,x,z'
'x,-y,z'
'-y,-x,z'
loop_
_atom_site_label
_atom_site_fract_x
_atom_site_fract_y
_atom_site_fract_z
Ni1 0.0000 0.0000 0.0000
Hg1 0.0000 0.0000 0.4374
Hg2 0.5000 0.5000 0.7705
Rh1 0.5000 0.5000 0.1809
```

# 5
VASP calculation (PBE) on a geometry-optimized NiHg2Rh structure.

Values from the calculation:
polymorph energy (0 for the lowest one) = 97 meV/atom
formation enthalpy at 0 K = 0.281 eV per atom

```
data_NiHg2Rh
_space_group_name_H-M_alt 'I -4 m 2'
_space_group_IT_number 119
_space_group_name_Hall 'I -4 -2'
_cell_length_a 4.0314
_cell_length_b 4.0314
_cell_length_c 8.2672
_cell_angle_alpha 90.00
_cell_angle_beta 90.00
_cell_angle_gamma 90.00
loop_
_atom_site_label
_atom_site_fract_x
_atom_site_fract_y
_atom_site_fract_z
Ni1 0.0000 0.0000 0.0000
Hg1 0.0000 0.0000 0.5000
Hg2 0.0000 0.5000 0.2500
Rh1 0.0000 0.5000 0.7500
```

# 6
VASP calculation (PBE) on a geometry-optimized NiHg2Rh structure.

Values from the calculation:
polymorph energy (0 for the lowest one) = 318 meV/atom
formation enthalpy at 0 K = 0.502 eV per atom

```
data_NiHg2Rh
_space_group_name_H-M_alt 'I -4 2 d'
_space_group_IT_number 122
_space_group_name_Hall 'I -4 2bw'
_cell_length_a 7.2531
_cell_length_b 7.2531
_cell_length_c 5.5958
_cell_angle_alpha 90.00
_cell_angle_beta 90.00
_cell_angle_gamma 90.00
loop_
_atom_site_label
_atom_site_fract_x
_atom_site_fract_y
_atom_site_fract_z
Ni1 0.0000 0.0000 0.0000
Hg1 0.2321 0.2500 0.1250
Rh1 0.0000 0.0000 0.5000
```

# 7
VASP calculation (PBE) on a geometry-optimized NiHg2Rh structure.

Values from the calculation:
polymorph energy (0 for the lowest one) = 0 meV/atom
formation enthalpy at 0 K = 0.184 eV per atom

```
data_NiHg2Rh
_space_group_name_H-M_alt 'P 4/m m m'
_space_group_IT_number 123
_space_group_name_Hall '-P 4 2'
_cell_length_a 4.5097
_cell_length_b 4.5097
_cell_length_c 3.2920
_cell_angle_alpha 90.00
_cell_angle_beta 90.00
_cell_angle_gamma 90.00
loop_
_atom_site_label
_atom_site_fract_x
_atom_site_fract_y
_atom_site_fract_z
Ni1 0.0000 0.0000 0.0000
Hg1 0.0000 0.5000 0.5000
Rh1 0.5000 0.5000 0.0000
```

# 8
VASP calculation (PBE) on a geometry-optimized NiHgRh3 structure.

Values from the calculation:
polymorph energy (0 for the lowest one) = 0 meV/atom
formation enthalpy at 0 K = 0.963 eV per atom

```
data_NiHgRh3
_space_group_name_H-M_alt 'P m -3 m'
_space_group_IT_number 221
_space_group_name_Hall '-P 4 2 3'
_cell_length_a 4.5151
_cell_length_b 4.5151
_cell_length_c 4.5151
_cell_angle_alpha 90.00
_cell_angle_beta 90.00
_cell_angle_gamma 90.00
loop_
_atom_site_label
_atom_site_fract_x
_atom_site_fract_y
_atom_site_fract_z
Ni1 0.0000 0.0000 0.0000
Hg1 0.5000 0.5000 0.5000
Rh1 0.0000 0.0000 0.5000
```

# 9
VASP calculation (PBE) on a geometry-optimized Ni2HgRh2 structure.

Values from the calculation:
polymorph energy (0 for the lowest one) = 22 meV/atom
formation enthalpy at 0 K = 0.247 eV per atom

```
data_Ni2HgRh2
_space_group_name_H-M_alt 'P 4/m b m'
_space_group_IT_number 127
_space_group_name_Hall '-P 4 2ab'
_cell_length_a 7.3102
_cell_length_b 7.3102
_cell_length_c 2.7654
_cell_angle_alpha 90.00
_cell_angle_beta 90.00
_cell_angle_gamma 90.00
loop_
_atom_site_label
_atom_site_fract_x
_atom_site_fract_y
_atom_site_fract_z
Ni1 0.1663 0.3337 0.0000
Hg1 0.0000 0.0000 0.5000
Rh1 0.1292 0.6292 0.5000
```

# 10
VASP calculation (PBE) on a geometry-optimized NiHgRh structure.

Values from the calculation:
polymorph energy (0 for the lowest one) = 97 meV/atom
formation enthalpy at 0 K = 0.289 eV per atom

```
data_NiHgRh
_space_group_name_H-M_alt 'P -6 m 2'
_space_group_IT_number 187
_space_group_name_Hall 'P -6 2'
_cell_length_a 4.3210
_cell_length_b 4.3210
_cell_length_c 2.9156
_cell_angle_alpha 90.00
_cell_angle_beta 90.00
_cell_angle_gamma 120.00
loop_
_atom_site_label
_atom_site_fract_x
_atom_site_fract_y
_atom_site_fract_z
Ni1 0.0000 0.0000 0.0000
Hg1 0.3333 0.6667 0.5000
Rh1 0.6667 0.3333 0.0000
```

# 11
VASP calculation (PBE) on a geometry-optimized NiHg2Rh structure.

Values from the calculation:
polymorph energy (0 for the lowest one) = 167 meV/atom
formation enthalpy at 0 K = 0.351 eV per atom

```
data_NiHg2Rh
_space_group_name_H-M_alt 'F -4 3 m'
_space_group_IT_number 216
_space_group_name_Hall 'F -4 2 3'
_cell_length_a 6.4697
_cell_length_b 6.4697
_cell_length_c 6.4697
_cell_angle_alpha 90.00
_cell_angle_beta 90.00
_cell_angle_gamma 90.00
loop_
_atom_site_label
_atom_site_fract_x
_atom_site_fract_y
_atom_site_fract_z
Ni1 0.0000 0.0000 0.0000
Hg1 0.0000 0.0000 0.5000
Hg2 0.2500 0.2500 0.7500
Rh1 0.2500 0.2500 0.2500
```

# 12
VASP calculation (PBE) on a geometry-optimized Ni2HgRh2 structure.

Values from the calculation:
polymorph energy (0 for the lowest one) = 0 meV/atom
formation enthalpy at 0 K = 0.224 eV per atom

```
data_Ni2HgRh2
_space_group_name_H-M_alt 'P 4/m b m'
_space_group_IT_number 127
_space_group_name_Hall '-P 4 2ab'
_cell_length_a 7.1806
_cell_length_b 7.1806
_cell_length_c 2.8337
_cell_angle_alpha 90.00
_cell_angle_beta 90.00
_cell_angle_gamma 90.00
loop_
_atom_site_label
_atom_site_fract_x
_atom_site_fract_y
_atom_site_fract_z
Ni1 0.1195 0.3805 0.0000
Hg1 0.0000 0.0000 0.0000
Rh1 0.1729 0.6729 0.5000
```

# 13
VASP calculation (PBE) on a geometry-optimized NiHgRh structure.

Values from the calculation:
polymorph energy (0 for the lowest one) = 203 meV/atom
formation enthalpy at 0 K = 0.395 eV per atom

```
data_NiHgRh
_space_group_name_H-M_alt 'F -4 3 m'
_space_group_IT_number 216
_space_group_name_Hall 'F -4 2 3'
_cell_length_a 5.9264
_cell_length_b 5.9264
_cell_length_c 5.9264
_cell_angle_alpha 90.00
_cell_angle_beta 90.00
_cell_angle_gamma 90.00
loop_
_atom_site_label
_atom_site_fract_x
_atom_site_fract_y
_atom_site_fract_z
Ni1 0.0000 0.0000 0.0000
Hg1 0.2500 0.2500 0.2500
Rh1 0.2500 0.2500 0.7500
```

# 14
VASP calculation (PBE) on a geometry-optimized Ni2Hg2Rh structure.

Values from the calculation:
formation enthalpy at 0 K = 0.288 eV per atom

```
data_Ni2Hg2Rh
_space_group_name_H-M_alt 'P 4/m b m'
_space_group_IT_number 127
_space_group_name_Hall '-P 4 2ab'
_cell_length_a 6.4901
_cell_length_b 6.4901
_cell_length_c 3.8147
_cell_angle_alpha 90.00
_cell_angle_beta 90.00
_cell_angle_gamma 90.00
loop_
_atom_site_label
_atom_site_fract_x
_atom_site_fract_y
_atom_site_fract_z
Ni1 0.1260 0.3740 0.0000
Hg1 0.1769 0.6769 0.5000
Rh1 0.0000 0.0000 0.0000
```